Entry 1:
Fe3H: relaxed, PBE-GGA.

Cell: 4.9515 4.9515 3.7231 Å, 90.00 90.00 120.00°
Fractional positions:
Fe: 0.1696 0.3391 0.2500
Fe: 0.1696 0.8304 0.2500
Fe: 0.3391 0.1696 0.7500
Fe: 0.6609 0.8304 0.2500
Fe: 0.8304 0.1696 0.7500
Fe: 0.8304 0.6609 0.7500
H: 0.3333 0.6667 0.7500
H: 0.6667 0.3333 0.2500

Computed properties:
offset from the most stable computed form	0.000	eV per atom
size of the total moment	13.1	μB per cell

=====

Entry 2:
FeH3: relaxed, PBE-GGA.

Cell: 5.1553 5.1553 5.1553 Å, 60.00 60.00 60.00°
Fractional positions:
Fe: 0.0000 0.0000 0.0000
Fe: 0.0000 0.0000 0.5000
Fe: 0.0000 0.5000 0.0000
Fe: 0.5000 0.0000 0.0000
H: 0.1322 0.1322 0.6178
H: 0.1322 0.6178 0.1322
H: 0.1322 0.6178 0.6178
H: 0.3822 0.3822 0.8678
H: 0.3822 0.8678 0.3822
H: 0.3822 0.8678 0.8678
H: 0.6178 0.1322 0.1322
H: 0.6178 0.1322 0.6178
H: 0.6178 0.6178 0.1322
H: 0.8678 0.3822 0.3822
H: 0.8678 0.3822 0.8678
H: 0.8678 0.8678 0.3822

Computed properties:
size of the total moment	4.0	μB per cell
raw total energy	-4.3934	eV/atom

=====

Entry 3:
FeH3: relaxed, PBE-GGA.

Cell: 3.9377 3.9408 3.9655 Å, 63.37 63.51 63.62°
Fractional positions:
Fe: 0.1295 0.1300 0.1310
Fe: 0.8705 0.8700 0.8690
H: 0.0583 0.4811 0.7134
H: 0.2899 0.9383 0.5154
H: 0.4814 0.7109 0.0632
H: 0.5186 0.2891 0.9368
H: 0.7101 0.0617 0.4846
H: 0.9417 0.5189 0.2866

Computed properties:
size of the total moment	3.6	μB per cell
raw total energy	-4.3177	eV/atom

=====

Entry 4:
FeH3: relaxed, PBE-GGA.

Cell: 3.9542 3.9542 3.9542 Å, 63.14 63.14 63.14°
Fractional positions:
Fe: 0.1302 0.1302 0.1302
Fe: 0.8698 0.8698 0.8698
H: 0.0610 0.4845 0.7097
H: 0.2903 0.9390 0.5155
H: 0.4845 0.7097 0.0610
H: 0.5155 0.2903 0.9390
H: 0.7097 0.0610 0.4845
H: 0.9390 0.5155 0.2903

Computed properties:
size of the total moment	3.6	μB per cell
raw total energy	-4.3170	eV/atom

=====

Entry 5:
Fe2H: relaxed, PBE-GGA.

Cell: 3.3839 3.3839 3.3839 Å, 60.00 60.00 60.00°
Fractional positions:
Fe: 0.2500 0.2500 0.2500
Fe: 0.7500 0.7500 0.7500
H: 0.0000 0.0000 0.0000

Computed properties:
size of the total moment	4.8	μB per cell
raw total energy	-6.1818	eV/atom

=====

Entry 6:
Fe2H3: relaxed, PBE-GGA.

Cell: 4.3775 4.3775 4.3775 Å, 61.66 61.66 61.66°
Fractional positions:
Fe: 0.1274 0.1274 0.1274
Fe: 0.3726 0.3726 0.3726
Fe: 0.6274 0.6274 0.6274
Fe: 0.8726 0.8726 0.8726
H: 0.0218 0.7500 0.4782
H: 0.2500 0.5218 0.9782
H: 0.4782 0.0218 0.7500
H: 0.5218 0.9782 0.2500
H: 0.7500 0.4782 0.0218
H: 0.9782 0.2500 0.5218

Computed properties:
size of the total moment	8.4	μB per cell
raw total energy	-5.1896	eV/atom